Record 1
Below is a relaxed CeScGa4 crystal, with properties calculated at the PBE-GGA level.

Geometry as extended XYZ:
```
6
Lattice="-0.129 5.409 0.842 -4.106 2.991 -2.042 -3.747 2.160 3.358" Properties=species:S:1:pos:R:3 pbc="T T T"
Sc -1.996 2.640 0.539
Ga -3.115 5.520 -0.331
Ga -2.936 5.104 2.370
Ga -4.989 6.600 1.349
Ga -4.925 3.895 0.928
Ce 0.000 0.000 0.000
```

Output
Relative energy among the computed polymorphs: 0.1019 eV per atom
Energy of formation from the pure elements: -0.47 eV per atom
M_tot: 0.8 μB/cell
Space group: No. 216


Record 2
Below is a relaxed La2AgSn crystal, with properties calculated at the PBE-GGA level.

Geometry as extended XYZ:
```
4
Lattice="4.097 0.000 0.000 0.000 5.379 0.000 0.000 0.000 5.379" Properties=species:S:1:pos:R:3 pbc="T T T"
Sn 2.049 0.000 0.000
Ag 2.049 2.690 2.690
La 0.000 0.000 2.690
La 0.000 2.690 0.000
```

Output
Energy of formation from the pure elements: -0.52 eV per atom
M_tot: 0.3 μB/cell
Space group: No. 123


Record 3
Below is a relaxed MgAl2Te crystal, with properties calculated at the PBE-GGA level.

Geometry as extended XYZ:
```
4
Lattice="-1.122 4.082 -3.746 -2.349 0.917 1.703 3.164 3.202 2.542" Properties=species:S:1:pos:R:3 pbc="T T T"
Al -2.231 0.914 1.664
Al 0.290 2.063 2.161
Mg -0.357 3.071 -0.812
Te 0.051 5.131 1.310
```

Output
Relative energy among the computed polymorphs: 0.2243 eV per atom
E_form (uncorrected): 0.13 eV/atom
M_tot: 0.0 μB/cell
Space group: No. 10


Q: Among the records above, which one has the lowest M_tot?
A: MgAl2Te


Q: Which value of M_tot does entry 2 give?
A: 0.3 μB/cell


Q: Among the records above, which one has the highest M_tot?
A: CeScGa4